## La3GaGe6Pt2 (PBE)

Data for an optimized crystal structure of La3GaGe6Pt2.

Summary:
Space group ... P-3m1
Raw total energy ... -5.235 eV/atom
Size of the total moment ... 0.0 μB/f.u.
Calculated volume ... 270.5 Å³ per cell
ΔE_f ... -10.044 kcal/mol of atoms

Geometry as CIF:
```
data_La3GaGe6Pt2
_chemical_formula_sum 'La3 Ga1 Ge6 Pt2'
_cell_length_a 6.0725
_cell_length_b 6.0725
_cell_length_c 8.4696
_cell_angle_alpha 90.00
_cell_angle_beta 90.00
_cell_angle_gamma 120.00
_space_group_name_H-M_alt 'P 1'
_space_group_IT_number 1
loop_
_space_group_symop_operation_xyz
'x,y,z'
loop_
_atom_site_label
_atom_site_type_symbol
_atom_site_fract_x
_atom_site_fract_y
_atom_site_fract_z
La1 La 0.3333 0.6667 0.6345
La2 La 0.6667 0.3333 0.3655
La3 La 0.0000 0.0000 0.0000
Ga1 Ga 0.0000 0.0000 0.5000
Ge1 Ge 0.6171 0.8086 0.2760
Ge2 Ge 0.1914 0.3829 0.2760
Ge3 Ge 0.1914 0.8086 0.2760
Ge4 Ge 0.8086 0.6171 0.7240
Ge5 Ge 0.3829 0.1914 0.7240
Ge6 Ge 0.8086 0.1914 0.7240
Pt1 Pt 0.6667 0.3333 0.9797
Pt2 Pt 0.3333 0.6667 0.0203
```

## SrBeAs2Br (PBE)

Data for an optimized crystal structure of SrBeAs2Br.

Summary:
Space group ... P4/mmm
Raw total energy ... -2.371 eV/atom
Distance to the lowest polymorph of the same formula ... 1397 meV/atom
Size of the total moment ... 2.1 μB/f.u.
Calculated volume ... 207.4 Å³ per cell
E_form (uncorrected) ... 0.905 eV per atom

Geometry as CIF:
```
data_SrBeAs2Br
_chemical_formula_sum 'Sr1 Be1 As2 Br1'
_cell_length_a 5.9916
_cell_length_b 5.9916
_cell_length_c 5.7772
_cell_angle_alpha 90.00
_cell_angle_beta 90.00
_cell_angle_gamma 90.00
_space_group_name_H-M_alt 'P 1'
_space_group_IT_number 1
loop_
_space_group_symop_operation_xyz
'x,y,z'
loop_
_atom_site_label
_atom_site_type_symbol
_atom_site_fract_x
_atom_site_fract_y
_atom_site_fract_z
Sr1 Sr 0.0000 0.0000 0.0000
As1 As 0.0000 0.5000 0.0000
As2 As 0.5000 0.0000 0.0000
Br1 Br 0.0000 0.0000 0.5000
Be1 Be 0.5000 0.5000 0.5000
```